The following is a GGA-PBE calculation of an optimized crystal structure of TiMnIrW, from the Alexandria database.

## Properties
- electronic total energy (eV/atom) = -9.99
- density of states at the Fermi level (states/eV/cell) = 0.71
- formation energy from the elements (eV/atom) = -0.27
- volume (Å³ per cell) = 58

Unit cell a=4.3499 b=4.3499 c=4.3499 alpha=60.00 beta=60.00 gamma=60.00
Closest atoms and distances in Å follow each position.
Atoms (fractional coordinates):
Mn 0.0000 0.0000 0.0000  4 Ir 2.66, 4 W 2.66
Ir 0.7500 0.7500 0.7500  4 Mn 2.66, 4 Ti 2.66
W 0.2500 0.2500 0.2500  4 Mn 2.66, 4 Ti 2.66
Ti 0.5000 0.5000 0.5000  4 W 2.66, 4 Ir 2.66

The following is a GGA-PBE calculation of an optimized crystal structure of Pr5Dy2Sn4, from the Alexandria database.

## Properties
- electronic total energy (eV/atom) = -4.60
- density of states at the Fermi level (states/eV/cell) = 10.45
- formation energy from the elements (eV/atom) = -0.14
- volume (Å³ per cell) = 352

Unit cell a=3.6795 b=8.3353 c=13.6911 alpha=121.83 beta=97.72 gamma=90.00
Closest atoms and distances in Å follow each position.
Atoms (fractional coordinates):
Pr 0.1731 0.8678 0.3463  3 Sn 3.38-3.42, 3 Dy 3.55-3.62, 3 Pr 3.68-3.72
Pr 0.8269 0.1322 0.6537  3 Sn 3.38-3.42, 3 Dy 3.55-3.62, 3 Pr 3.68-3.72
Pr 0.1259 0.2132 0.2518  3 Sn 3.39-3.55, 5 Pr 3.43-3.72, 3 Dy 3.50-3.55
Pr 0.5000 0.0000 0.0000  6 Sn 3.36-3.41, 6 Pr 3.43-3.68
Pr 0.8741 0.7868 0.7482  3 Sn 3.39-3.55, 5 Pr 3.43-3.72, 3 Dy 3.50-3.55
Dy 0.7257 0.6243 0.4515  1 Sn 3.24, 6 Pr 3.50-3.62, 2 Dy 3.51
Dy 0.2743 0.3757 0.5485  1 Sn 3.24, 6 Pr 3.50-3.62, 2 Dy 3.51
Sn 0.5883 0.4740 0.1766  1 Dy 3.24, 2 Sn 3.26, 5 Pr 3.36-3.39
Sn 0.0285 0.7136 0.0570  3 Sn 3.03-3.26
Sn 0.4117 0.5260 0.8234  1 Dy 3.24, 2 Sn 3.26, 5 Pr 3.36-3.39
Sn 0.9715 0.2864 0.9430  3 Sn 3.03-3.26

The following is a GGA-PBE calculation of an optimized crystal structure of BaZrTe2N, from the Alexandria database.

## Properties
- electronic total energy (eV/atom) = -4.00
- density of states at the Fermi level (states/eV/cell) = 6.38
- energy above the most stable polymorph in this dataset (meV per atom) = 1863.0
- volume (Å³ per cell) = 167

Unit cell a=6.2416 b=6.2416 c=4.2970 alpha=90.00 beta=90.00 gamma=90.00
Closest atoms and distances in Å follow each position.
Atoms (fractional coordinates):
Te 0.0000 0.5000 0.0000  2 Ba 3.12
Te 0.5000 0.0000 0.0000  2 Ba 3.12
Ba 0.0000 0.0000 0.0000  2 N 2.15
Zr 0.5000 0.5000 0.5000  8 Te 3.79
N 0.0000 0.0000 0.5000  2 Ba 2.15

The following is a GGA-PBE calculation of an optimized crystal structure of CsTbGeI6, from the Alexandria database.

## Properties
- electronic total energy (eV/atom) = -3.24
- density of states at the Fermi level (states/eV/cell) = 0.00
- volume (Å³ per cell) = 468

Unit cell a=7.8791 b=7.8790 c=8.7127 alpha=90.01 beta=90.00 gamma=59.98
Closest atoms and distances in Å follow each position.
Atoms (fractional coordinates):
Cs 0.0000 0.0000 0.0000  6 I 3.92
Tb 0.3334 0.3334 0.5000  6 I 3.05-3.06
Ge 0.6666 0.6666 0.5000  6 I 3.03
I 0.9979 0.3729 0.2988  1 Ge 3.03, 1 Tb 3.06
I 0.3729 0.9979 0.7012  1 Ge 3.03, 1 Tb 3.06
I 0.6292 0.3730 0.7012  1 Ge 3.03, 1 Tb 3.05
I 0.9977 0.6293 0.7012  1 Ge 3.03, 1 Tb 3.06
I 0.3730 0.6292 0.2988  1 Ge 3.03, 1 Tb 3.06
I 0.6292 0.9978 0.2988  1 Ge 3.03, 1 Tb 3.05

The following is a GGA-PBE calculation of an optimized crystal structure of CsCoCl2, from the Alexandria database.

## Properties
- electronic total energy (eV/atom) = -3.77
- density of states at the Fermi level (states/eV/cell) = 0.00
- energy above the most stable polymorph in this dataset (meV per atom) = 120.0
- volume (Å³ per cell) = 195

Unit cell a=7.7663 b=7.7663 c=7.7663 alpha=42.67 beta=42.67 gamma=42.67
Closest atoms and distances in Å follow each position.
Atoms (fractional coordinates):
Cs 0.5000 0.5000 0.5000  6 Cl 3.55
Co 0.0000 0.0000 0.0000  2 Cl 2.13
Cl 0.8991 0.8991 0.8991  1 Co 2.13
Cl 0.1009 0.1009 0.1009  1 Co 2.13

The following is a GGA-PBE calculation of an optimized crystal structure of Rb2UAu2S4, from the Alexandria database.

## Properties
- electronic total energy (eV/atom) = -4.92
- density of states at the Fermi level (states/eV/cell) = 5.03
- volume (Å³ per cell) = 236

Unit cell a=3.9499 b=8.1904 c=8.0866 alpha=111.03 beta=104.14 gamma=90.00
Closest atoms and distances in Å follow each position.
Atoms (fractional coordinates):
Rb 0.1302 0.5744 0.2603  7 S 3.29-3.63, 1 Au 3.36
Rb 0.8698 0.4256 0.7397  7 S 3.29-3.63, 1 Au 3.36
U 0.0000 0.0000 0.0000  6 S 2.65-2.72
Au 0.6948 0.0336 0.3897  3 S 2.54-2.72, 2 Au 2.81
Au 0.3052 0.9664 0.6103  3 S 2.54-2.72, 2 Au 2.81
S 0.1752 0.2124 0.3503  2 Au 2.54, 1 U 2.65
S 0.8248 0.7876 0.6497  2 Au 2.54, 1 U 2.65
S 0.5214 0.7891 0.0427  1 Au 2.72, 2 U 2.72
S 0.4786 0.2109 0.9573  1 Au 2.72, 2 U 2.72

The following is a GGA-PBE calculation of an optimized crystal structure of Tb4BiPSe2, from the Alexandria database.

## Properties
- electronic total energy (eV/atom) = -5.85
- density of states at the Fermi level (states/eV/cell) = 3.43
- volume (Å³ per cell) = 208

Unit cell a=4.1689 b=7.1925 c=7.3554 alpha=70.60 beta=90.00 gamma=90.00
Closest atoms and distances in Å follow each position.
Atoms (fractional coordinates):
Tb 0.0000 0.7531 0.7250  1 P 2.84, 3 Se 2.88-3.10, 2 Bi 3.05
Tb 0.0000 0.2469 0.2750  1 P 2.84, 3 Se 2.88-3.10, 2 Bi 3.05
Tb 0.5000 0.7396 0.2727  2 P 2.86, 3 Se 2.90-3.06, 1 Bi 3.05
Tb 0.5000 0.2604 0.7273  2 P 2.86, 3 Se 2.90-3.06, 1 Bi 3.05
Bi 0.5000 0.5000 0.0000  6 Tb 3.05
P 0.0000 0.5000 0.5000  6 Tb 2.84-2.86
Se 0.0000 0.0000 0.0000  6 Tb 3.06-3.10
Se 0.5000 0.0000 0.5000  6 Tb 2.88-2.90

The following is a GGA-PBE calculation of an optimized crystal structure of Pm4Hf6O19, from the Alexandria database.

## Properties
- electronic total energy (eV/atom) = -9.20
- density of states at the Fermi level (states/eV/cell) = 20.08
- volume (Å³ per cell) = 424

Unit cell a=8.1969 b=8.1969 c=8.1969 alpha=109.47 beta=109.47 gamma=109.47
Closest atoms and distances in Å follow each position.
Atoms (fractional coordinates):
Pm 0.0000 0.0000 0.7063  4 O 2.31-2.41
Pm 0.0000 0.7063 0.0000  4 O 2.31-2.41
Pm 0.2937 0.2937 0.2937  4 O 2.31-2.41
Pm 0.7063 0.0000 0.0000  4 O 2.31-2.41
Hf 0.3324 0.5000 0.8324  6 O 2.08-2.10
Hf 0.6676 0.5000 0.1676  6 O 2.08-2.10
Hf 0.1676 0.6676 0.5000  6 O 2.08-2.10
Hf 0.8324 0.3324 0.5000  6 O 2.08-2.10
Hf 0.5000 0.8324 0.3324  6 O 2.08-2.10
Hf 0.5000 0.1676 0.6676  6 O 2.08-2.10
O 0.6452 0.0000 0.6452  2 Hf 2.10
O 0.3548 0.0000 0.3548  2 Hf 2.10
O 0.3548 0.3548 0.0000  2 Hf 2.10
O 0.6452 0.6452 0.0000  2 Hf 2.10
O 0.0000 0.6452 0.6452  2 Hf 2.10
O 0.0000 0.3548 0.3548  2 Hf 2.10
O 0.0000 0.0000 0.0000  4 Pm 2.41
O 0.3625 0.3285 0.6043  2 Hf 2.08, 1 Pm 2.31
O 0.6375 0.2418 0.9660  2 Hf 2.08, 1 Pm 2.31
O 0.7242 0.7582 0.3957  2 Hf 2.08, 1 Pm 2.31
O 0.9660 0.6375 0.2418  2 Hf 2.08, 1 Pm 2.31
O 0.2758 0.6715 0.0340  2 Hf 2.08, 1 Pm 2.31
O 0.6043 0.3625 0.3285  2 Hf 2.08, 1 Pm 2.31
O 0.0340 0.2758 0.6715  2 Hf 2.08, 1 Pm 2.31
O 0.3957 0.7242 0.7582  2 Hf 2.08, 1 Pm 2.31
O 0.6715 0.0340 0.2758  2 Hf 2.08, 1 Pm 2.31
O 0.2418 0.9660 0.6375  2 Hf 2.08, 1 Pm 2.31
O 0.3285 0.6043 0.3625  2 Hf 2.08, 1 Pm 2.31
O 0.7582 0.3957 0.7242  2 Hf 2.08, 1 Pm 2.31

The following is a GGA-PBE calculation of an optimized crystal structure of LiTa4Ru5, from the Alexandria database.

## Properties
- electronic total energy (eV/atom) = -9.90
- density of states at the Fermi level (states/eV/cell) = 5.83
- formation energy from the elements (eV/atom) = -0.33
- volume (Å³ per cell) = 154

Unit cell a=3.1699 b=3.1699 c=15.3592 alpha=90.00 beta=90.00 gamma=90.00
Closest atoms and distances in Å follow each position.
Atoms (fractional coordinates):
Li 0.0000 0.0000 0.0000  8 Ru 2.67, 2 Ta 2.82
Ta 0.0000 0.0000 0.1837  8 Ru 2.63-2.82, 1 Li 2.82
Ta 0.0000 0.0000 0.3958  8 Ru 2.72-2.75
Ta 0.0000 0.0000 0.6042  8 Ru 2.72-2.75
Ta 0.0000 0.0000 0.8163  8 Ru 2.63-2.82, 1 Li 2.82
Ru 0.5000 0.5000 0.0945  4 Ta 2.63, 4 Li 2.67, 1 Ru 2.90
Ru 0.5000 0.5000 0.2954  8 Ta 2.72-2.82
Ru 0.5000 0.5000 0.5000  8 Ta 2.75
Ru 0.5000 0.5000 0.7046  8 Ta 2.72-2.82
Ru 0.5000 0.5000 0.9055  4 Ta 2.63, 4 Li 2.67, 1 Ru 2.90

The following is a GGA-PBE calculation of an optimized crystal structure of Hg2Bi2Se, from the Alexandria database.

## Properties
- electronic total energy (eV/atom) = -2.25
- density of states at the Fermi level (states/eV/cell) = 2.52
- energy above the most stable polymorph in this dataset (meV per atom) = 51.3
- volume (Å³ per cell) = 142

Unit cell a=4.1456 b=4.1456 c=8.7827 alpha=76.35 beta=76.35 gamma=90.00
Closest atoms and distances in Å follow each position.
Atoms (fractional coordinates):
Bi 0.4055 0.4055 0.1889  1 Bi 3.13, 4 Hg 3.31, 4 Se 3.32
Bi 0.5945 0.5945 0.8111  1 Bi 3.13, 4 Hg 3.31, 4 Se 3.32
Se 0.0000 0.0000 0.0000  8 Bi 3.32
Hg 0.7500 0.2500 0.5000  4 Hg 2.93
Hg 0.2500 0.7500 0.5000  4 Hg 2.93

The following is a GGA-PBE calculation of an optimized crystal structure of RuW3, from the Alexandria database.

## Properties
- electronic total energy (eV/atom) = -11.79
- density of states at the Fermi level (states/eV/cell) = 3.42
- formation energy from the elements (eV/atom) = 0.25
- volume (Å³ per cell) = 63

Unit cell a=2.7536 b=4.0113 c=5.7076 alpha=90.00 beta=90.00 gamma=90.00
Closest atoms and distances in Å follow each position.
Atoms (fractional coordinates):
Ru 0.0000 0.0000 0.0000  2 Ru 2.75, 10 W 2.80-2.85
W 0.0000 0.0000 0.5000  10 W 2.75-2.84, 2 Ru 2.85
W 0.5000 0.5000 0.2417  8 W 2.75-2.95, 4 Ru 2.80
W 0.5000 0.5000 0.7583  8 W 2.75-2.95, 4 Ru 2.80

The following is a GGA-PBE calculation of an optimized crystal structure of Nb2AlRu, from the Alexandria database.

## Properties
- electronic total energy (eV/atom) = -8.55
- density of states at the Fermi level (states/eV/cell) = 3.32
- formation energy from the elements (eV/atom) = -0.26
- volume (Å³ per cell) = 65

Unit cell a=4.0996 b=3.9883 c=3.9883 alpha=90.00 beta=90.00 gamma=90.00
Closest atoms and distances in Å follow each position.
Atoms (fractional coordinates):
Ru 0.5000 0.5000 0.5000  4 Al 2.82, 8 Nb 2.86
Nb 0.0000 0.0000 0.5000  4 Nb 2.82, 4 Ru 2.86, 4 Al 2.86
Nb 0.0000 0.5000 0.0000  4 Nb 2.82, 4 Ru 2.86, 4 Al 2.86
Al 0.5000 0.0000 0.0000  4 Ru 2.82, 8 Nb 2.86